Entry from the Alexandria database: Sr3Ga2Ag4 after structural relaxation (GGA-PBE).

```
Sr3Ga2Ag4
1.0
5.671 -2.420 0.000
5.671 2.420 0.000
-3.100 0.000 8.598
Sr Ga Ag
3 2 4
Direct
0.000 0.000 0.000
0.360 0.360 0.312
0.640 0.640 0.688
0.343 0.343 0.672
0.657 0.657 0.328
0.101 0.101 0.419
0.277 0.277 0.928
0.723 0.723 0.072
0.899 0.899 0.581
```

Space group: C2/m (12)
Energy of formation, kJ/mol of atoms: -31.6
Crystal system: monoclinic
Calculated density, g cm⁻³: 5.867